The following is a PBEsol calculation of a relaxed SrLi2Si crystal, from Alexandria via LeMat-Bulk.

Computed properties:
ρ	2401	kg/m3
formation energy (no corrections)	55	meV/atom
total DFT energy (no corrections)	-11.30	eV per cell

CIF file:
```
data_SrLi2Si
_symmetry_space_group_name_H-M 'P m m m'
_symmetry_Int_Tables_number 47
_cell_length_a 3.335
_cell_length_b 4.053
_cell_length_c 6.630
_cell_angle_alpha 90.00
_cell_angle_beta 90.00
_cell_angle_gamma 90.00
loop_
_symmetry_equiv_pos_as_xyz
'x,y,z'
'-x,-y,-z'
'-x,-y,z'
'x,y,-z'
'x,-y,-z'
'-x,y,z'
'-x,y,-z'
'x,-y,z'
loop_
_atom_site_label
_atom_site_type_symbol
_atom_site_fract_x
_atom_site_fract_y
_atom_site_fract_z
_atom_site_occupancy
Sr1 Sr 0.000 0.000 0.000 1
Li1 Li 0.500 0.500 0.322 1
Si1 Si 0.000 0.000 0.500 1
```